Entry 1:
DFT (PBE) results for an optimized crystal structure of RbSc3In.

a b c (Å): 5.6288 5.6288 5.6288
angles (deg): 90.00 90.00 90.00
Atoms (fractional coordinates):
1 Rb 0.0000 0.0000 0.0000
2 Sc 0.0000 0.5000 0.5000
3 Sc 0.5000 0.0000 0.5000
4 Sc 0.5000 0.5000 0.0000
5 In 0.5000 0.5000 0.5000

Calculated values
formation enthalpy at 0 K	571	meV per atom
N(E_F)	11.22	states/eV/cell


Entry 2:
DFT (PBE) results for an optimized crystal structure of NaMn2S3.

a b c (Å): 6.9212 3.5749 10.6013
angles (deg): 90.00 104.77 90.00
Atoms (fractional coordinates):
1 Na 0.0301 0.2500 0.3255
2 Na 0.9699 0.7500 0.6745
3 Mn 0.3178 0.2500 0.0427
4 Mn 0.4958 0.2500 0.6254
5 Mn 0.5042 0.7500 0.3746
6 Mn 0.6822 0.7500 0.9573
7 S 0.2512 0.7500 0.1787
8 S 0.2781 0.7500 0.5284
9 S 0.3047 0.7500 0.8922
10 S 0.6953 0.2500 0.1078
11 S 0.7219 0.2500 0.4716
12 S 0.7488 0.2500 0.8213

Calculated values
N(E_F)	0.98	states/eV/cell
raw formation energy	-0.67	eV per atom


Entry 3:
DFT (PBE) results for an optimized crystal structure of Si2AgTe.

a b c (Å): 4.8422 4.8422 4.8422
angles (deg): 60.00 60.00 60.00
Atoms (fractional coordinates):
1 Si 0.2500 0.2500 0.2500
2 Si 0.7500 0.7500 0.7500
3 Ag 0.0000 0.0000 0.0000
4 Te 0.5000 0.5000 0.5000

Calculated values
N(E_F)	2.03	states/eV/cell
raw formation energy	0.67	eV per atom


Entry 4:
DFT (PBE) results for an optimized crystal structure of Rb2TbPmTe4.

a b c (Å): 7.9374 4.5834 8.9614
angles (deg): 90.00 107.16 90.00
Atoms (fractional coordinates):
1 Rb 0.0000 0.0000 0.0000
2 Rb 0.5000 0.5000 0.0000
3 Tb 0.0000 0.5000 0.5000
4 Pm 0.5000 0.0000 0.5000
5 Te 0.2291 0.0000 0.7008
6 Te 0.2613 0.5000 0.2971
7 Te 0.7387 0.5000 0.7029
8 Te 0.7709 0.0000 0.2992

Calculated values
raw formation energy	-1.40	eV per atom


Entry 5:
DFT (PBE) results for an optimized crystal structure of MgBeIn2.

a b c (Å): 5.3611 5.3611 5.3611
angles (deg): 132.78 132.78 69.00
Atoms (fractional coordinates):
1 Mg 0.0000 0.0000 0.0000
2 Be 0.2500 0.7500 0.5000
3 In 0.5000 0.5000 0.0000
4 In 0.7500 0.2500 0.5000

Calculated values
formation enthalpy at 0 K	307	meV per atom
N(E_F)	1.54	states/eV/cell